Record 1
Density functional theory data (GGA-PBE) for crystalline HoNbBrO4 at its relaxed geometry.

Properties
The uncorrected formation energy comes out at -17.7 eV/f.u. As for the calculated density: 5.0 Mg/m³.

Cell: 7.0058 7.0058 6.9598 Å, 103.14 103.14 54.52°
Last column: nearest neighbours and their distance in Å.
Positions (direct):
Ho (0.2086, 0.2086, 0.3462)  4 O 2.19-2.23
Ho (0.7914, 0.7914, 0.6538)  4 O 2.19-2.23
Nb (0.1256, 0.1256, 0.7543)  4 O 1.85-1.91
Nb (0.8744, 0.8744, 0.2457)  4 O 1.85-1.91
Br (0.4851, 0.4851, 0.8298)  1 Br 2.30
Br (0.5149, 0.5149, 0.1702)  1 Br 2.30
O (0.0278, 0.0278, 0.2950)  1 Nb 1.85
O (0.0385, 0.5977, 0.3770)  1 Nb 1.91
O (0.1885, 0.1885, 0.0249)  1 Nb 1.85
O (0.4023, 0.9615, 0.6230)  1 Nb 1.91
O (0.5977, 0.0385, 0.3770)  1 Nb 1.91
O (0.8115, 0.8115, 0.9751)  1 Nb 1.85
O (0.9615, 0.4023, 0.6230)  1 Nb 1.91
O (0.9722, 0.9722, 0.7050)  1 Nb 1.85

---

Record 2
Density functional theory data (GGA-PBE) for crystalline Nd2HoBr at its relaxed geometry.

Properties
The uncorrected formation energy comes out at -2.2 eV/f.u. For the density of states at the Fermi level, the calculation gives 1.017 states/eV/atom. As for the calculated density: 7.0 Mg/m³.

Cell: 10.8033 10.8033 10.8033 Å, 19.75 19.75 19.75°
Last column: nearest neighbours and their distance in Å.
Positions (direct):
Nd (0.2428, 0.2428, 0.2428)  3 Br 3.23, 3 Ho 3.58
Nd (0.7572, 0.7572, 0.7572)  3 Br 3.23, 3 Ho 3.58
Ho (0.0000, 0.0000, 0.0000)  6 Nd 3.58, 6 Ho 3.71
Br (0.5000, 0.5000, 0.5000)  6 Nd 3.23